No. 1
A plane-wave DFT calculation with PBEsol was carried out for a geometry-optimized BaNaSr3Sb3O12 structure.

Output
density of states at the Fermi level	0.000	states/eV/atom
calculated density	5.980	g cm⁻³
calculated volume	13.61	Å³ per atom
ΔE_f (raw)	-210	kJ per mole of atoms
total magnetic moment	0.00	μB/f.u.

Cell and atoms, written as extended XYZ:
```
40
Lattice="-7.8926 -0.5557 1.8534 -1.6881 -1.9431 -7.7715 1.0074 -7.8935 1.9233" Properties=species:S:1:pos:R:3 pbc="T T T"
Sb -7.5454 -6.9765 1.3937
O -1.7161 -6.3760 -0.3121
O -1.8835 -2.7680 -0.6945
Sr -7.0806 -6.2708 -5.4130
Sr -1.4471 -4.1184 1.4075
O -0.8786 -2.9042 -3.3610
Na -0.5100 -7.3701 -4.3817
O -0.7547 -0.5054 -1.8169
O -3.0919 -8.5129 0.7853
O 0.4347 -5.9499 1.3778
O -1.0459 -5.2593 -4.9526
O -4.3518 -3.1537 -2.7410
Ba -2.3201 -5.0426 -2.4846
O -2.5596 -7.7523 -3.5658
O -5.4795 -7.0574 1.2721
Sr -0.9825 -7.9955 2.3264
O -4.5583 -9.6574 -2.9435
O -4.5288 -8.1599 -5.4657
O -4.3028 -7.2493 -1.4303
O -7.6899 -7.4829 -0.4393
Sb -0.1685 -2.4348 -1.4475
O -6.3569 -7.6009 -3.3785
O -4.4454 -5.6714 -4.0677
Sb -1.0268 -3.4007 -5.3795
O -7.5196 -4.9598 0.8694
O -4.0588 -4.8888 0.1433
Sb -4.4585 -7.6797 -3.4739
Sr -6.7901 -1.4168 -2.5146
Sr -1.8288 -8.9787 -1.4695
O -3.0937 -3.3349 -5.2669
O -8.8470 -2.1164 -3.9898
O -6.8572 -4.0163 -3.6827
O -6.3465 -2.6634 -0.3509
O -7.3048 -2.4620 2.2365
Sb -3.6058 -6.7142 0.4594
Ba -6.2531 -5.3497 -1.5102
Na -4.1170 -2.7444 -0.5398
O -5.6423 -4.2055 -6.1630
Sr -7.5908 -2.3969 -6.3212
Sb -4.9684 -3.6933 -4.4632
```

***

No. 2
A plane-wave DFT calculation with PBEsol was carried out for a geometry-optimized Si2AsP structure.

Output
density of states at the Fermi level	0.429	states/eV/atom
calculated density	4.400	g cm⁻³
calculated volume	15.29	Å³ per atom
energy relative to the lowest polymorph listed for this composition	59	meV per atom
ΔE_f (raw)	44	kJ per mole of atoms
total magnetic moment	0.00	μB/f.u.

Cell and atoms, written as extended XYZ:
```
4
Lattice="-2.4605 0.2922 1.1595 -0.7645 -4.3580 -2.5306 3.0084 -0.2688 4.2277" Properties=species:S:1:pos:R:3 pbc="T T T"
Si 1.5042 -0.1344 2.1138
As -0.3822 -2.1790 -1.2653
Si -0.1083 -2.1673 1.4283
P -1.2303 0.1461 0.5798
```

***

No. 3
A plane-wave DFT calculation with PBEsol was carried out for a geometry-optimized NbCo2 structure.

Output
density of states at the Fermi level	1.586	states/eV/atom
calculated density	9.519	g cm⁻³
calculated volume	12.26	Å³ per atom
formation enthalpy at 0 K	-0.184	eV/atom
total magnetic moment	0.00	μB/f.u.

Cell and atoms, written as extended XYZ:
```
6
Lattice="-3.4947 2.4129 -2.0196 -2.6149 -2.0104 -3.3518 -4.4720 -1.1554 0.8831" Properties=species:S:1:pos:R:3 pbc="T T T"
Co -4.8662 -1.6770 -1.7954
Nb 0.0000 0.0000 0.0000
Co -6.6136 -0.4706 -2.8052
Co -5.3061 0.5346 -1.1293
Nb -2.6454 -0.1882 -1.1221
Co -4.3775 0.1072 -3.2467
```

***

No. 4
A plane-wave DFT calculation with PBEsol was carried out for a geometry-optimized Er2Au structure.

Output
density of states at the Fermi level	0.950	states/eV/atom
calculated density	12.114	g cm⁻³
calculated volume	24.29	Å³ per atom
formation enthalpy at 0 K	-0.671	eV/atom
total magnetic moment	0.00	μB/f.u.

Cell and atoms, written as extended XYZ:
```
12
Lattice="4.8376 0.0000 0.0000 0.0000 6.9113 0.0000 0.0000 0.0000 8.7164" Properties=species:S:1:pos:R:3 pbc="T T T"
Er 1.2094 3.3711 1.5505
Au 1.2094 5.2385 5.2105
Er 3.6282 3.5402 7.1659
Er 1.2094 5.8649 8.0128
Au 3.6282 1.6727 3.5059
Er 1.2094 6.8267 2.8077
Er 3.6282 1.0463 0.7036
Au 3.6282 5.1284 0.8523
Er 3.6282 4.5020 3.6546
Er 1.2094 2.4093 5.0618
Au 1.2094 1.7829 7.8641
Er 3.6282 0.0846 5.9087
```

***

No. 5
A plane-wave DFT calculation with PBEsol was carried out for a geometry-optimized SbSe4 structure.

Output
density of states at the Fermi level	0.387	states/eV/atom
calculated density	5.357	g cm⁻³
calculated volume	27.13	Å³ per atom
ΔE_f (raw)	17	kJ per mole of atoms
total magnetic moment	0.00	μB/f.u.

Cell and atoms, written as extended XYZ:
```
5
Lattice="3.4831 0.0000 0.0000 1.7415 6.2404 0.0000 1.7415 0.0000 6.2404" Properties=species:S:1:pos:R:3 pbc="T T T"
Sb 0.0000 0.0000 0.0000
Se 1.7415 2.3166 0.5107
Se 5.2246 3.9238 5.7297
Se 3.4831 0.5107 3.9238
Se 3.4831 5.7297 2.3166
```

***

No. 6
A plane-wave DFT calculation with PBEsol was carried out for a geometry-optimized Ti5CrP6O24 structure.

Output
density of states at the Fermi level	0.272	states/eV/atom
calculated density	3.333	g cm⁻³
calculated volume	11.92	Å³ per atom
ΔE_f (raw)	-236	kJ per mole of atoms
total magnetic moment	4.19	μB/f.u.

Cell and atoms, written as extended XYZ:
```
36
Lattice="-3.4579 7.5050 0.1113 -5.2365 1.7555 -6.1476 -8.0216 0.3520 1.9560" Properties=species:S:1:pos:R:3 pbc="T T T"
O -10.6277 7.9959 -3.0943
O -4.9793 4.0125 0.0049
P -8.9215 7.8512 -0.4175
P -5.3210 6.5023 -2.6485
O -11.8020 5.5500 -4.0457
O -8.4139 2.3106 1.4814
P -8.9148 5.7670 -5.3551
Ti -10.6735 6.1379 -2.6054
O -7.6319 3.9556 -0.2482
O -7.5422 3.0203 -2.8190
P -7.8594 3.7626 1.2963
Ti -6.0939 3.5043 -1.4875
O -4.6494 3.4102 -2.7652
Ti -14.4606 8.3156 -3.5298
O -9.7113 7.5541 0.9134
O -10.3699 4.2730 -1.8690
O -9.1701 6.5914 -1.3223
O -14.0289 6.6369 -4.4428
O -10.6097 2.3688 -0.3515
O -6.0923 1.6177 -1.0771
O -8.3284 7.2171 -5.5462
O -6.9544 2.0685 -5.0680
O -7.9808 4.6527 -5.7411
O -14.0962 7.6784 -1.7133
O -12.0552 6.2847 -1.2776
O -4.8745 7.2616 -1.3546
Ti -16.6228 9.5590 -4.0575
Cr -2.2838 1.3133 -0.5575
Ti -8.3320 4.7913 -2.0338
O -6.3336 5.3922 -2.1827
P -7.7652 1.7800 -3.7605
O -9.1235 5.6187 -3.8053
O -7.4283 7.9407 -0.2585
O -11.8086 2.3932 -2.6530
P -11.3773 3.1812 -1.3583
O -12.7230 9.1745 -3.8146
```

***

What is the density of states at the Fermi level in the fourth record? 0.950 states/eV/atom

***

Which value of calculated volume does entry 4 give? 24.29 Å³ per atom